Model i:
# NdHoIn (PBE, relaxed)
data_NdHoIn
_symmetry_space_group_name_H-M 'I 4 m m'
_symmetry_Int_Tables_number 107
_symmetry_space_group_name_Hall 'I 4 -2'
_cell_length_a 3.600
_cell_length_b 3.600
_cell_length_c 13.880
_cell_angle_alpha 90.00
_cell_angle_beta 90.00
_cell_angle_gamma 90.00
loop_
_atom_site_label
_atom_site_fract_x
_atom_site_fract_y
_atom_site_fract_z
Nd1 0.000 0.000 0.000
Ho1 0.000 0.000 0.691
In1 0.000 0.000 0.338
# Calculated volume: 179.90 Å³/cell

---

Model ii:
# NdHoIn (PBE, relaxed)
data_NdHoIn
_symmetry_space_group_name_H-M 'P 3 m 1'
_symmetry_Int_Tables_number 156
_symmetry_space_group_name_Hall 'P 3 -2"'
_cell_length_a 5.2817
_cell_length_b 5.2817
_cell_length_c 3.7166
_cell_angle_alpha 90.00
_cell_angle_beta 90.00
_cell_angle_gamma 120.00
loop_
_atom_site_label
_atom_site_fract_x
_atom_site_fract_y
_atom_site_fract_z
Nd1 0.0000 0.0000 0.0000
Ho1 0.6667 0.3333 0.5523
In1 0.3333 0.6667 0.3680
# Calculated volume: 89.79 Å³/cell

---

Model iii:
# NdHoIn (PBE, relaxed)
data_NdHoIn
_symmetry_space_group_name_H-M 'C 1 2/m 1'
_symmetry_Int_Tables_number 12
_symmetry_space_group_name_Hall '-C 2y'
_cell_length_a 12.715
_cell_length_b 3.747
_cell_length_c 8.044
_cell_angle_alpha 90.00
_cell_angle_beta 110.06
_cell_angle_gamma 90.00
loop_
_atom_site_label
_atom_site_fract_x
_atom_site_fract_y
_atom_site_fract_z
Nd1 0.000 0.000 0.000
Nd2 0.000 0.000 0.500
Ho1 0.192 0.500 0.316
In1 0.164 0.500 0.853
# Calculated volume: 360.02 Å³/cell

---

Relative to the most stable one, in meV/atom, the structures come out at model i 0; model ii 59; model iii 77.